A plane-wave DFT calculation with GGA-PBE was carried out for a relaxed AsRhBr4 crystal.

Structure (POSCAR):
```
AsRhBr4
1.0
1.382 -5.922 0.250
0.954 -2.678 5.381
-4.054 -3.981 2.179
Br As Rh
4 1 1
Cartesian
0.043 -7.673 3.057 Br
-2.664 -6.707 4.018 Br
-0.645 -4.724 2.933 Br
-0.170 -6.058 5.613 Br
0.000 0.000 0.000 As
-1.289 -9.436 5.858 Rh
```

## Properties
Density of states at the Fermi level   11.28 states/eV/f.u.
Energy   -10.9 eV per cell
Formation energy without anion corrections   1.29 eV per atom


A plane-wave DFT calculation with GGA-PBE was carried out for a relaxed RbUIn2F8 crystal.

Structure (POSCAR):
```
RbUIn2F8
1.0
-3.148 2.312 1.143
0.353 -2.731 6.401
5.484 6.292 2.383
F In U Rb
8 2 1 1
Cartesian
-1.812 1.296 6.792 F
1.426 2.364 6.287 F
1.577 5.184 8.265 F
1.263 3.509 3.640 F
1.112 0.688 1.662 F
4.501 4.577 3.134 F
-1.279 -1.115 5.893 F
3.968 6.988 4.034 F
0.159 1.576 4.448 In
2.530 4.297 5.479 In
0.000 0.000 0.000 U
2.742 3.146 1.191 Rb
```

## Properties
Density of states at the Fermi level   3.38 states/eV/f.u.
Energy   -66.3 eV per cell
Formation energy without anion corrections   -2.80 eV per atom